Here is an optimized crystal structure of Cs2OsPbCl6 from the Alexandria database. Energies are from PBE-GGA.

Geometry as POSCAR:
```
Cs2OsPbCl6
1.0
-7.333 -1.323 0.775
-0.738 -0.272 -7.450
-3.086 -6.006 -3.242
Cl Cs Os Pb
6 2 1 1
Direct
0.271 0.729 0.000
0.729 0.729 0.543
0.271 0.271 0.000
0.729 0.729 0.000
0.271 0.271 0.457
0.729 0.271 0.000
0.750 0.250 0.500
0.250 0.750 0.500
0.500 0.500 0.000
0.000 0.000 0.000
```

Calculated values
magnetization	0.000	μB/f.u.
raw formation energy	-1.0636	eV/atom
space-group type	Fm-3m, No. 225
uncorrected energy	-3.836	eV/atom

***

Here is an optimized crystal structure of CsRb2OsCl6 from the Alexandria database. Energies are from PBE-GGA.

Geometry as POSCAR:
```
CsRb2OsCl6
1.0
7.899 0.000 0.000
0.000 7.899 0.000
3.949 3.949 5.585
Rb Cl Cs Os
2 6 1 1
Direct
0.250 0.750 0.500
0.750 0.250 0.500
0.213 0.213 0.575
0.787 0.787 0.000
0.787 0.213 0.000
0.787 0.787 0.425
0.213 0.213 0.000
0.213 0.787 0.000
0.500 0.500 0.000
0.000 0.000 0.000
```

Calculated values
magnetization	1.000	μB/f.u.
raw formation energy	-1.2438	eV/atom
space-group type	Fm-3m, No. 225
uncorrected energy	-3.754	eV/atom

***

Here is an optimized crystal structure of Cs2RbOsCl6 from the Alexandria database. Energies are from PBE-GGA.

Geometry as POSCAR:
```
Cs2RbOsCl6
1.0
-5.163 -1.497 5.631
-0.578 -7.355 -2.485
1.229 -5.887 4.944
Cl Os Rb Cs
6 1 1 2
Direct
0.784 0.784 0.433
0.216 0.784 0.000
0.216 0.216 0.000
0.784 0.784 0.000
0.784 0.216 0.000
0.216 0.216 0.567
0.000 0.000 0.000
0.500 0.500 0.000
0.750 0.250 0.500
0.250 0.750 0.500
```

Calculated values
magnetization	1.000	μB/f.u.
raw formation energy	-1.3073	eV/atom
space-group type	Fm-3m, No. 225
uncorrected energy	-3.806	eV/atom

***

Here is an optimized crystal structure of CsRb2OsCl8 from the Alexandria database. Energies are from PBE-GGA.

Geometry as POSCAR:
```
CsRb2OsCl8
1.0
-2.288 -4.495 -3.331
-1.136 -1.793 7.141
-9.029 4.766 -0.213
Cl Os Rb Cs
8 1 2 1
Direct
0.078 0.807 0.163
0.617 0.816 0.999
0.919 0.192 0.162
0.383 0.184 0.001
0.922 0.193 0.837
0.593 0.268 0.499
0.407 0.732 0.501
0.081 0.808 0.838
0.000 0.000 0.000
0.503 0.498 0.742
0.497 0.502 0.258
0.000 0.000 0.500
```

Calculated values
magnetization	3.045	μB/f.u.
raw formation energy	-1.1662	eV/atom
space-group type	P-1, No. 2
uncorrected energy	-3.565	eV/atom

***

Here is an optimized crystal structure of CsRbOsCl6 from the Alexandria database. Energies are from PBE-GGA.

Geometry as POSCAR:
```
CsRbOsCl6
1.0
6.761 0.000 0.000
0.000 7.722 0.000
0.000 -3.861 6.688
Rb Cl Os Cs
1 6 1 1
Direct
0.500 0.667 0.333
0.297 0.751 0.999
0.703 0.751 0.752
0.703 0.248 0.999
0.703 0.001 0.249
0.297 0.001 0.752
0.297 0.248 0.249
0.500 0.000 0.000
0.000 0.333 0.667
```

Calculated values
magnetization	2.000	μB/f.u.
raw formation energy	-1.1203	eV/atom
space-group type	P312, No. 149
uncorrected energy	-3.801	eV/atom

***

Here is an optimized crystal structure of Cs2RbOsCl8 from the Alexandria database. Energies are from PBE-GGA.

Geometry as POSCAR:
```
Cs2RbOsCl8
1.0
5.832 -0.868 -0.002
-0.921 7.777 -0.008
0.006 0.012 10.363
Os Cl Cs Rb
1 8 2 1
Direct
0.000 0.000 0.000
0.908 0.179 0.161
0.418 0.751 0.500
0.618 0.823 0.000
0.909 0.180 0.839
0.382 0.177 0.000
0.092 0.821 0.839
0.582 0.249 0.500
0.091 0.820 0.161
0.500 0.500 0.257
0.500 0.500 0.743
0.000 0.000 0.500
```

Calculated values
magnetization	3.058	μB/f.u.
raw formation energy	-1.1696	eV/atom
space-group type	P2/m, No. 10
uncorrected energy	-3.559	eV/atom

***

Here is an optimized crystal structure of CsRe2OsCl from the Alexandria database. Energies are from PBE-GGA.

Geometry as POSCAR:
```
CsRe2OsCl
1.0
4.754 0.000 0.000
0.000 7.896 0.000
0.000 0.000 4.754
Cl Cs Os Re
1 1 1 2
Direct
0.500 0.500 0.500
0.000 0.500 0.000
0.000 0.000 0.000
0.000 0.000 0.500
0.500 0.000 0.000
```

Calculated values
magnetization	4.041	μB/f.u.
raw formation energy	1.4964	eV/atom
space-group type	P4/mmm, No. 123
uncorrected energy	-6.269	eV/atom

***

Here is an optimized crystal structure of CsRe2OsSe4Cl3 from the Alexandria database. Energies are from PBE-GGA.

Geometry as POSCAR:
```
CsRe2OsSe4Cl3
1.0
10.118 -0.005 -0.003
-5.073 8.755 -0.003
0.049 0.084 15.225
Se Re Os Cl Cs
16 8 4 12 4
Direct
0.671 0.048 0.322
0.668 0.333 0.453
0.666 0.334 0.047
0.956 0.332 0.183
0.376 0.047 0.180
0.333 0.668 0.953
0.621 0.666 0.678
0.047 0.376 0.680
0.621 0.955 0.820
0.334 0.666 0.547
0.666 0.621 0.178
0.331 0.375 0.817
0.375 0.331 0.317
0.332 0.956 0.683
0.048 0.671 0.822
0.955 0.621 0.320
0.666 0.182 0.180
0.515 0.182 0.321
0.665 0.484 0.320
0.182 0.666 0.680
0.484 0.818 0.679
0.818 0.484 0.179
0.182 0.515 0.821
0.484 0.665 0.820
0.334 0.819 0.822
0.334 0.515 0.678
0.819 0.334 0.322
0.515 0.334 0.178
0.981 0.662 0.593
0.980 0.318 0.910
0.661 0.681 0.407
0.339 0.020 0.910
0.681 0.021 0.591
0.318 0.980 0.410
0.662 0.981 0.093
0.339 0.319 0.590
0.319 0.339 0.090
0.021 0.681 0.091
0.020 0.339 0.410
0.681 0.661 0.907
0.334 0.667 0.250
0.999 0.000 0.500
0.000 0.999 0.000
0.667 0.334 0.750
```

Calculated values
magnetization	0.000	μB/f.u.
raw formation energy	-0.8031	eV/atom
space-group type	Cc, No. 9
uncorrected energy	-5.936	eV/atom

***

Here is an optimized crystal structure of Cs2OsSCl6 from the Alexandria database. Energies are from PBE-GGA.

Geometry as POSCAR:
```
Cs2OsSCl6
1.0
-6.142 1.980 -3.903
-3.765 -5.820 2.972
-6.639 1.379 3.860
Cs Os Cl S
2 1 6 1
Direct
0.750 0.250 0.500
0.250 0.750 0.500
0.000 0.000 0.000
0.779 0.779 0.000
0.207 0.207 0.586
0.793 0.793 0.414
0.221 0.779 0.000
0.779 0.221 0.000
0.221 0.221 0.000
0.500 0.500 0.000
```

Calculated values
magnetization	4.000	μB/f.u.
raw formation energy	-0.7881	eV/atom
space-group type	I4/mmm, No. 139
uncorrected energy	-3.602	eV/atom

***

Here is an optimized crystal structure of CsOsS2Cl from the Alexandria database. Energies are from PBE-GGA.

Geometry as POSCAR:
```
CsOsS2Cl
1.0
4.607 0.000 0.000
0.000 4.607 0.000
0.000 0.000 5.789
Cs Os S Cl
1 1 2 1
Direct
0.500 0.500 0.500
0.000 0.000 0.000
0.500 0.000 0.000
0.000 0.500 0.000
0.000 0.000 0.500
```

Calculated values
magnetization	0.001	μB/f.u.
raw formation energy	-0.3301	eV/atom
space-group type	P4/mmm, No. 123
energy relative to the lowest polymorph listed for this composition	0.00	eV per formula unit
uncorrected energy	-4.767	eV/atom

***

Here is an optimized crystal structure of CsOsSCl2 from the Alexandria database. Energies are from PBE-GGA.

Geometry as POSCAR:
```
CsOsSCl2
1.0
5.301 0.000 0.000
0.000 5.301 0.000
0.000 0.000 4.429
S Cl Cs Os
1 2 1 1
Direct
0.000 0.000 0.500
0.500 0.000 0.000
0.000 0.500 0.000
0.500 0.500 0.500
0.000 0.000 0.000
```

Calculated values
magnetization	0.000	μB/f.u.
raw formation energy	-0.5045	eV/atom
space-group type	P4/mmm, No. 123
uncorrected energy	-4.485	eV/atom

***

Here is an optimized crystal structure of CsOsS2Cl from the Alexandria database. Energies are from PBE-GGA.

Geometry as POSCAR:
```
CsOsS2Cl
1.0
5.485 0.000 0.000
0.000 5.485 0.000
0.000 0.000 6.150
Cs S Os Cl
1 2 1 1
Direct
0.000 0.000 0.000
0.000 0.500 0.000
0.500 0.000 0.000
0.500 0.500 0.500
0.000 0.000 0.500
```

Calculated values
magnetization	5.985	μB/f.u.
raw formation energy	1.9904	eV/atom
space-group type	P4/mmm, No. 123
energy relative to the lowest polymorph listed for this composition	11.60	eV per formula unit
uncorrected energy	-2.447	eV/atom

***

Here is an optimized crystal structure of Cs2ScOsCl6 from the Alexandria database. Energies are from PBE-GGA.

Geometry as POSCAR:
```
Cs2ScOsCl6
1.0
-6.422 -1.870 2.582
-1.169 -4.022 -5.820
-1.691 -6.944 0.722
Cl Cs Sc Os
6 2 1 1
Direct
0.753 0.753 0.495
0.753 0.753 0.000
0.247 0.247 0.000
0.247 0.753 0.000
0.247 0.247 0.505
0.753 0.247 0.000
0.250 0.750 0.500
0.750 0.250 0.500
0.500 0.500 0.000
0.000 0.000 0.000
```

Calculated values
magnetization	1.000	μB/f.u.
raw formation energy	-1.2524	eV/atom
space-group type	I4/mmm, No. 139
uncorrected energy	-4.287	eV/atom

***

Here is an optimized crystal structure of Cs2SiOsCl6 from the Alexandria database. Energies are from PBE-GGA.

Geometry as POSCAR:
```
Cs2SiOsCl6
1.0
-4.381 1.306 5.539
2.672 -5.699 3.458
2.699 0.753 6.613
Cl Si Cs Os
6 1 2 1
Direct
0.759 0.241 0.000
0.241 0.241 0.000
0.759 0.759 0.482
0.241 0.241 0.518
0.759 0.759 0.000
0.241 0.759 0.000
0.500 0.500 0.000
0.750 0.250 0.500
0.250 0.750 0.500
0.000 0.000 0.000
```

Calculated values
magnetization	0.000	μB/f.u.
raw formation energy	-0.8563	eV/atom
space-group type	Fm-3m, No. 225
uncorrected energy	-3.800	eV/atom

***

Here is an optimized crystal structure of Cs2TcOsCl from the Alexandria database. Energies are from PBE-GGA.

Geometry as POSCAR:
```
Cs2TcOsCl
1.0
7.097 0.000 0.000
0.000 4.326 0.000
0.000 0.000 7.097
Cl Cs Os Tc
1 2 1 1
Direct
0.000 0.500 0.000
0.500 0.000 0.000
0.000 0.000 0.500
0.000 0.000 0.000
0.500 0.500 0.500
```

Calculated values
magnetization	4.509	μB/f.u.
raw formation energy	1.4687	eV/atom
space-group type	P4/mmm, No. 123
uncorrected energy	-3.561	eV/atom

***

Here is an optimized crystal structure of Cs2TlOsCl6 from the Alexandria database. Energies are from PBE-GGA.

Geometry as POSCAR:
```
Cs2TlOsCl6
1.0
-3.670 -5.818 3.472
2.683 -4.873 -5.332
3.905 -6.286 2.143
Cs Tl Os Cl
2 1 1 6
Direct
0.750 0.250 0.500
0.250 0.750 0.500
0.000 0.000 0.000
0.500 0.500 0.000
0.719 0.719 0.000
0.281 0.281 0.000
0.281 0.281 0.438
0.719 0.281 0.000
0.719 0.719 0.562
0.281 0.719 0.000
```

Calculated values
magnetization	1.000	μB/f.u.
raw formation energy	-1.1281	eV/atom
space-group type	Fm-3m, No. 225
uncorrected energy	-3.766	eV/atom

***

Here is an optimized crystal structure of CsTl2OsCl8 from the Alexandria database. Energies are from PBE-GGA.

Geometry as POSCAR:
```
CsTl2OsCl8
1.0
5.989 -1.144 -0.001
-1.261 7.439 0.000
0.000 0.011 9.683
Cl Tl Cs Os
8 2 1 1
Direct
0.059 0.802 0.830
0.058 0.802 0.170
0.941 0.198 0.170
0.394 0.181 0.001
0.604 0.291 0.499
0.606 0.819 0.999
0.942 0.198 0.830
0.396 0.709 0.501
0.501 0.499 0.732
0.499 0.501 0.268
0.000 0.000 0.500
0.000 0.000 0.000
```

Calculated values
magnetization	3.026	μB/f.u.
raw formation energy	-0.8860	eV/atom
space-group type	P-1, No. 2
uncorrected energy	-3.518	eV/atom

***

Here is an optimized crystal structure of CsTlOsCl6 from the Alexandria database. Energies are from PBE-GGA.

Geometry as POSCAR:
```
CsTlOsCl6
1.0
7.529 0.000 0.000
3.765 6.521 -0.001
0.000 0.002 6.909
Cl Os Cs Tl
6 1 1 1
Direct
0.588 0.334 0.697
0.334 0.078 0.697
0.078 0.588 0.697
0.588 0.078 0.303
0.078 0.334 0.303
0.334 0.588 0.303
0.333 0.333 0.500
0.000 0.000 0.000
0.667 0.667 0.500
```

Calculated values
magnetization	2.004	μB/f.u.
raw formation energy	-0.9210	eV/atom
space-group type	P312, No. 149
uncorrected energy	-3.758	eV/atom

***

Here is an optimized crystal structure of Cs2VOsCl from the Alexandria database. Energies are from PBE-GGA.

Geometry as POSCAR:
```
Cs2VOsCl
1.0
-3.112 1.579 -5.927
3.753 -0.995 -2.236
-2.104 -6.517 -0.631
Cs V Os Cl
2 1 1 1
Direct
0.000 0.000 0.500
0.500 0.000 0.000
0.000 0.000 0.000
0.000 0.500 0.000
0.500 0.500 0.500
```

Calculated values
magnetization	1.929	μB/f.u.
raw formation energy	0.5224	eV/atom
space-group type	P4/mmm, No. 123
uncorrected energy	-4.258	eV/atom

***

Here is an optimized crystal structure of Cs2YOsCl6 from the Alexandria database. Energies are from PBE-GGA.

Geometry as POSCAR:
```
Cs2YOsCl6
1.0
-4.841 3.799 3.589
-5.202 -3.978 -2.806
-4.601 -3.839 4.928
Cl Y Cs Os
6 1 2 1
Direct
0.237 0.237 0.000
0.725 0.725 0.550
0.763 0.763 0.000
0.763 0.237 0.000
0.237 0.763 0.000
0.275 0.275 0.450
0.500 0.500 0.000
0.750 0.250 0.500
0.250 0.750 0.500
0.000 0.000 0.000
```

Calculated values
magnetization	1.000	μB/f.u.
raw formation energy	-1.3328	eV/atom
space-group type	I4/mmm, No. 139
uncorrected energy	-4.381	eV/atom

***

Here is an optimized crystal structure of CsPCl3 from the Alexandria database. Energies are from PBE-GGA.

Geometry as POSCAR:
```
CsPCl3
1.0
-1.390 -4.832 -1.024
4.168 -1.718 2.451
-2.650 -0.168 4.391
Cs Cl P
1 3 1
Direct
0.500 0.500 0.500
0.500 0.000 0.000
0.000 0.500 0.000
0.000 0.000 0.500
0.000 0.000 0.000
```

Calculated values
magnetization	0.000	μB/f.u.
raw formation energy	-0.8790	eV/atom
space-group type	Pm-3m, No. 221
energy relative to the lowest polymorph listed for this composition	1.06	eV per formula unit
uncorrected energy	-3.240	eV/atom

***

Here is an optimized crystal structure of CsPCl2 from the Alexandria database. Energies are from PBE-GGA.

Geometry as POSCAR:
```
CsPCl2
1.0
3.216 0.000 7.754
-1.608 2.785 7.754
-1.608 -2.785 7.754
Cs P Cl
1 1 2
Direct
0.500 0.500 0.500
0.000 0.000 0.000
0.102 0.102 0.102
0.898 0.898 0.898
```

Calculated values
magnetization	2.000	μB/f.u.
raw formation energy	-0.6586	eV/atom
space-group type	R-3m, No. 166
energy relative to the lowest polymorph listed for this composition	0.00	eV per formula unit
uncorrected energy	-3.148	eV/atom